Version one
Entry from Alexandria: a geometry-optimized BaLi2W structure (GGA-PBE).

Computed properties:
The symmetry is Cm, No. 8. For the volume, the calculation gives 23.11 Å³/atom.

Cell: 9.917 2.932 6.391 Å, 90.00 95.65 90.00°
Element x y z (fractional)
Ba1 0.000 0.000 0.000
Ba2 0.500 0.500 0.000
Li1 0.234 0.000 0.676
Li2 0.491 0.000 0.468
Li3 0.734 0.500 0.676
Li4 0.991 0.500 0.468
W1 0.246 0.500 0.299
W2 0.746 0.000 0.299

---

Version two
Entry from Alexandria: a geometry-optimized BaLi2W structure (GGA-PBE).

Computed properties:
The symmetry is Fm-3m, No. 225. For the volume, the calculation gives 24.73 Å³/atom.

Cell: 7.342 7.342 7.342 Å, 90.00 90.00 90.00°
Element x y z (fractional)
Ba1 0.000 0.000 0.000
Ba2 0.000 0.500 0.500
Ba3 0.500 0.000 0.500
Ba4 0.500 0.500 0.000
Li1 0.250 0.250 0.250
Li2 0.250 0.250 0.750
Li3 0.250 0.750 0.250
Li4 0.250 0.750 0.750
Li5 0.750 0.250 0.250
Li6 0.750 0.250 0.750
Li7 0.750 0.750 0.250
Li8 0.750 0.750 0.750
W1 0.000 0.000 0.500
W2 0.000 0.500 0.000
W3 0.500 0.000 0.000
W4 0.500 0.500 0.500

---

Which is the most stable structure? version one is the most stable.

---

Version one
Entry from Alexandria: a geometry-optimized BaLi2W structure (GGA-PBE).

Computed properties:
The symmetry is C2/m, No. 12. For the volume, the calculation gives 22.87 Å³/atom.

Cell: 10.345 2.943 6.035 Å, 90.00 95.38 90.00°
Element x y z (fractional)
Ba1 0.000 0.000 0.000
Ba2 0.500 0.500 0.000
Li1 0.236 0.000 0.673
Li2 0.264 0.500 0.327
Li3 0.736 0.500 0.673
Li4 0.764 0.000 0.327
W1 0.000 0.500 0.500
W2 0.500 0.000 0.500

---

Version two
Entry from Alexandria: a geometry-optimized BaLi2W structure (GGA-PBE).

Computed properties:
The symmetry is P4/mmm, No. 123. For the volume, the calculation gives 21.43 Å³/atom.

Cell: 2.998 2.998 9.533 Å, 90.00 90.00 90.00°
Element x y z (fractional)
Ba1 0.000 0.000 0.000
Li1 0.500 0.500 0.305
Li2 0.500 0.500 0.695
W1 0.000 0.000 0.500

---

Version three
Entry from Alexandria: a geometry-optimized BaLi2W structure (GGA-PBE).

Computed properties:
The symmetry is R-3m, No. 166. For the volume, the calculation gives 22.12 Å³/atom.

Cell: 3.035 3.035 33.279 Å, 90.00 90.00 120.00°
Element x y z (fractional)
Ba1 0.000 0.000 0.000
Ba2 0.333 0.667 0.667
Ba3 0.667 0.333 0.333
Li1 0.000 0.000 0.236
Li2 0.000 0.000 0.764
Li3 0.333 0.667 0.431
Li4 0.333 0.667 0.903
Li5 0.667 0.333 0.097
Li6 0.667 0.333 0.569
W1 0.000 0.000 0.500
W2 0.333 0.667 0.167
W3 0.667 0.333 0.833

---

Which is the most stable structure? version two is the most stable.

---

Version one
Entry from Alexandria: a geometry-optimized BaLiW2 structure (GGA-PBE).

Computed properties:
The symmetry is I4/mmm, No. 139. For the volume, the calculation gives 20.92 Å³/atom.

Cell: 3.915 3.915 10.918 Å, 90.00 90.00 90.00°
Element x y z (fractional)
Ba1 0.000 0.000 0.000
Ba2 0.500 0.500 0.500
Li1 0.000 0.000 0.500
Li2 0.500 0.500 0.000
W1 0.000 0.500 0.250
W2 0.000 0.500 0.750
W3 0.500 0.000 0.250
W4 0.500 0.000 0.750

---

Version two
Entry from Alexandria: a geometry-optimized BaLiW2 structure (GGA-PBE).

Computed properties:
The symmetry is F-43m, No. 216. For the volume, the calculation gives 20.04 Å³/atom.

Cell: 6.844 6.844 6.844 Å, 90.00 90.00 90.00°
Element x y z (fractional)
Ba1 0.000 0.000 0.000
Ba2 0.000 0.500 0.500
Ba3 0.500 0.000 0.500
Ba4 0.500 0.500 0.000
Li1 0.250 0.250 0.250
Li2 0.250 0.750 0.750
Li3 0.750 0.250 0.750
Li4 0.750 0.750 0.250
W1 0.000 0.000 0.500
W2 0.000 0.500 0.000
W3 0.250 0.250 0.750
W4 0.250 0.750 0.250
W5 0.500 0.000 0.000
W6 0.500 0.500 0.500
W7 0.750 0.250 0.250
W8 0.750 0.750 0.750

---

Version three
Entry from Alexandria: a geometry-optimized BaLiW2 structure (GGA-PBE).

Computed properties:
The symmetry is Cm, No. 8. For the volume, the calculation gives 23.84 Å³/atom.

Cell: 8.758 3.136 6.990 Å, 90.00 96.70 90.00°
Element x y z (fractional)
Ba1 0.000 0.000 0.000
Ba2 0.500 0.500 0.000
Li1 0.260 0.500 0.338
Li2 0.760 0.000 0.338
W1 0.224 0.000 0.655
W2 0.498 0.000 0.544
W3 0.724 0.500 0.655
W4 0.998 0.500 0.544

---

Which is the most stable structure? version three is the most stable.

---

Version one
Entry from Alexandria: a geometry-optimized BaLiY2 structure (GGA-PBE).

Computed properties:
The symmetry is R-3m, No. 166. For the volume, the calculation gives 34.47 Å³/atom.

Cell: 3.668 3.668 35.513 Å, 90.00 90.00 120.00°
Element x y z (fractional)
Ba1 0.000 0.000 0.000
Ba2 0.333 0.667 0.667
Ba3 0.667 0.333 0.333
Li1 0.000 0.000 0.500
Li2 0.333 0.667 0.167
Li3 0.667 0.333 0.833
Y1 0.000 0.000 0.240
Y2 0.000 0.000 0.760
Y3 0.333 0.667 0.427
Y4 0.333 0.667 0.907
Y5 0.667 0.333 0.093
Y6 0.667 0.333 0.573

---

Version two
Entry from Alexandria: a geometry-optimized BaLiY2 structure (GGA-PBE).

Computed properties:
The symmetry is Imm2, No. 44. For the volume, the calculation gives 33.98 Å³/atom.

Cell: 3.940 5.928 11.640 Å, 90.00 90.00 90.00°
Element x y z (fractional)
Ba1 0.000 0.000 0.000
Ba2 0.500 0.500 0.500
Li1 0.000 0.500 0.733
Li2 0.500 0.000 0.233
Y1 0.000 0.000 0.446
Y2 0.000 0.500 0.213
Y3 0.500 0.000 0.713
Y4 0.500 0.500 0.946

---

Version three
Entry from Alexandria: a geometry-optimized BaLiY2 structure (GGA-PBE).

Computed properties:
The symmetry is F-43m, No. 216. For the volume, the calculation gives 35.64 Å³/atom.

Cell: 8.292 8.292 8.292 Å, 90.00 90.00 90.00°
Element x y z (fractional)
Ba1 0.000 0.000 0.000
Ba2 0.000 0.500 0.500
Ba3 0.500 0.000 0.500
Ba4 0.500 0.500 0.000
Li1 0.250 0.250 0.250
Li2 0.250 0.750 0.750
Li3 0.750 0.250 0.750
Li4 0.750 0.750 0.250
Y1 0.000 0.000 0.500
Y2 0.000 0.500 0.000
Y3 0.250 0.250 0.750
Y4 0.250 0.750 0.250
Y5 0.500 0.000 0.000
Y6 0.500 0.500 0.500
Y7 0.750 0.250 0.250
Y8 0.750 0.750 0.750

---

Version four
Entry from Alexandria: a geometry-optimized BaLiY2 structure (GGA-PBE).

Computed properties:
The symmetry is P4/mmm, No. 123. For the volume, the calculation gives 35.82 Å³/atom.

Cell: 4.929 4.929 5.897 Å, 90.00 90.00 90.00°
Element x y z (fractional)
Ba1 0.000 0.000 0.000
Li1 0.500 0.500 0.000
Y1 0.000 0.500 0.500
Y2 0.500 0.000 0.500

---

Which is the most stable structure? version two is the most stable.

---

Version one
Entry from Alexandria: a geometry-optimized BaLiY2 structure (GGA-PBE).

Computed properties:
The symmetry is Pm, No. 6. For the volume, the calculation gives 35.28 Å³/atom.

Cell: 3.894 3.891 9.312 Å, 90.00 90.03 90.00°
Element x y z (fractional)
Ba1 0.000 0.000 0.000
Li1 0.501 0.500 0.735
Y1 0.001 0.000 0.550
Y2 0.501 0.500 0.319

---

Version two
Entry from Alexandria: a geometry-optimized BaLiY2 structure (GGA-PBE).

Computed properties:
The symmetry is I4/mmm, No. 139. For the volume, the calculation gives 35.66 Å³/atom.

Cell: 4.899 4.899 11.887 Å, 90.00 90.00 90.00°
Element x y z (fractional)
Ba1 0.000 0.000 0.000
Ba2 0.500 0.500 0.500
Li1 0.000 0.000 0.500
Li2 0.500 0.500 0.000
Y1 0.000 0.500 0.250
Y2 0.000 0.500 0.750
Y3 0.500 0.000 0.250
Y4 0.500 0.000 0.750

---

Version three
Entry from Alexandria: a geometry-optimized BaLiY2 structure (GGA-PBE).

Computed properties:
The symmetry is Cmmm, No. 65. For the volume, the calculation gives 35.07 Å³/atom.

Cell: 7.017 10.820 3.695 Å, 90.00 90.00 90.00°
Element x y z (fractional)
Ba1 0.000 0.000 0.000
Ba2 0.500 0.500 0.000
Li1 0.000 0.500 0.000
Li2 0.500 0.000 0.000
Y1 0.250 0.250 0.500
Y2 0.250 0.750 0.500
Y3 0.750 0.250 0.500
Y4 0.750 0.750 0.500

---

Which is the most stable structure? version one is the most stable.

---

Version one
Entry from Alexandria: a geometry-optimized BaLiY2 structure (GGA-PBE).

Computed properties:
The symmetry is C2/m, No. 12. For the volume, the calculation gives 35.54 Å³/atom.

Cell: 6.966 12.741 3.601 Å, 90.00 117.16 90.00°
Element x y z (fractional)
Ba1 0.000 0.000 0.000
Ba2 0.500 0.500 0.000
Li1 0.000 0.500 0.000
Li2 0.500 0.000 0.000
Y1 0.250 0.250 0.500
Y2 0.250 0.750 0.500
Y3 0.750 0.250 0.500
Y4 0.750 0.750 0.500

---

Version two
Entry from Alexandria: a geometry-optimized BaLiY2 structure (GGA-PBE).

Computed properties:
The symmetry is Cm, No. 8. For the volume, the calculation gives 34.79 Å³/atom.

Cell: 12.565 3.754 6.254 Å, 90.00 109.38 90.00°
Element x y z (fractional)
Ba1 0.000 0.000 0.000
Ba2 0.500 0.500 0.000
Li1 0.243 0.500 0.146
Li2 0.743 0.000 0.146
Y1 0.205 0.000 0.625
Y2 0.454 0.000 0.474
Y3 0.705 0.500 0.625
Y4 0.954 0.500 0.474

---

Which is the most stable structure? version two is the most stable.

---

Version one
Entry from Alexandria: a geometry-optimized BaLiY2 structure (GGA-PBE).

Computed properties:
The symmetry is I4_1/amd, No. 141. For the volume, the calculation gives 47.10 Å³/atom.

Cell: 5.880 5.880 21.796 Å, 90.00 90.00 90.00°
Element x y z (fractional)
Ba1 0.000 0.250 0.375
Ba2 0.000 0.750 0.625
Ba3 0.500 0.250 0.125
Ba4 0.500 0.750 0.875
Li1 0.000 0.250 0.875
Li2 0.000 0.750 0.125
Li3 0.500 0.250 0.625
Li4 0.500 0.750 0.375
Y1 0.000 0.000 0.000
Y2 0.000 0.500 0.000
Y3 0.250 0.250 0.750
Y4 0.250 0.750 0.250
Y5 0.500 0.000 0.500
Y6 0.500 0.500 0.500
Y7 0.750 0.250 0.750
Y8 0.750 0.750 0.250

---

Version two
Entry from Alexandria: a geometry-optimized BaLiY2 structure (GGA-PBE).

Computed properties:
The symmetry is Fm-3m, No. 225. For the volume, the calculation gives 34.21 Å³/atom.

Cell: 8.180 8.180 8.180 Å, 90.00 90.00 90.00°
Element x y z (fractional)
Ba1 0.000 0.000 0.000
Ba2 0.000 0.500 0.500
Ba3 0.500 0.000 0.500
Ba4 0.500 0.500 0.000
Li1 0.000 0.000 0.500
Li2 0.000 0.500 0.000
Li3 0.500 0.000 0.000
Li4 0.500 0.500 0.500
Y1 0.250 0.250 0.250
Y2 0.250 0.250 0.750
Y3 0.250 0.750 0.250
Y4 0.250 0.750 0.750
Y5 0.750 0.250 0.250
Y6 0.750 0.250 0.750
Y7 0.750 0.750 0.250
Y8 0.750 0.750 0.750

---

Version three
Entry from Alexandria: a geometry-optimized BaLiY2 structure (GGA-PBE).

Computed properties:
The symmetry is P4/mmm, No. 123. For the volume, the calculation gives 34.41 Å³/atom.

Cell: 5.746 5.746 4.170 Å, 90.00 90.00 90.00°
Element x y z (fractional)
Ba1 0.000 0.000 0.000
Li1 0.500 0.500 0.000
Y1 0.000 0.500 0.500
Y2 0.500 0.000 0.500

---

Which is the most stable structure? version two is the most stable.

---

Version one
Entry from Alexandria: a geometry-optimized BaLiY2 structure (GGA-PBE).

Computed properties:
The symmetry is P2/m, No. 10. For the volume, the calculation gives 35.10 Å³/atom.

Cell: 3.663 5.958 6.578 Å, 90.00 102.01 90.00°
Element x y z (fractional)
Ba1 0.000 0.000 0.000
Li1 0.500 0.000 0.500
Y1 0.322 0.500 0.727
Y2 0.678 0.500 0.273

---

Version two
Entry from Alexandria: a geometry-optimized BaLiY2 structure (GGA-PBE).

Computed properties:
The symmetry is P4/mmm, No. 123. For the volume, the calculation gives 34.48 Å³/atom.

Cell: 3.805 3.805 9.527 Å, 90.00 90.00 90.00°
Element x y z (fractional)
Ba1 0.000 0.000 0.000
Li1 0.000 0.000 0.500
Y1 0.500 0.500 0.318
Y2 0.500 0.500 0.682

---

Version three
Entry from Alexandria: a geometry-optimized BaLiY2 structure (GGA-PBE).

Computed properties:
The symmetry is Pmmm, No. 47. For the volume, the calculation gives 35.17 Å³/atom.

Cell: 3.918 5.849 6.138 Å, 90.00 90.00 90.00°
Element x y z (fractional)
Ba1 0.000 0.000 0.000
Li1 0.500 0.500 0.000
Y1 0.000 0.500 0.500
Y2 0.500 0.000 0.500

---

Which is the most stable structure? version two is the most stable.

---

Version one
Entry from Alexandria: a geometry-optimized BaLi2Y structure (GGA-PBE).

Computed properties:
The symmetry is I-4m2, No. 119. For the volume, the calculation gives 33.25 Å³/atom.

Cell: 4.804 4.804 11.525 Å, 90.00 90.00 90.00°
Element x y z (fractional)
Ba1 0.000 0.000 0.000
Ba2 0.500 0.500 0.500
Li1 0.000 0.000 0.500
Li2 0.000 0.500 0.750
Li3 0.500 0.000 0.250
Li4 0.500 0.500 0.000
Y1 0.000 0.500 0.250
Y2 0.500 0.000 0.750

---

Version two
Entry from Alexandria: a geometry-optimized BaLi2Y structure (GGA-PBE).

Computed properties:
The symmetry is P4mm, No. 99. For the volume, the calculation gives 32.31 Å³/atom.

Cell: 3.838 3.838 8.773 Å, 90.00 90.00 90.00°
Element x y z (fractional)
Ba1 0.000 0.000 0.000
Li1 0.000 0.000 0.435
Li2 0.500 0.500 0.294
Y1 0.500 0.500 0.661

---

Version three
Entry from Alexandria: a geometry-optimized BaLi2Y structure (GGA-PBE).

Computed properties:
The symmetry is R3m, No. 160. For the volume, the calculation gives 33.05 Å³/atom.

Cell: 3.724 3.724 33.014 Å, 90.00 90.00 120.00°
Element x y z (fractional)
Ba1 0.000 0.000 0.000
Ba2 0.333 0.667 0.667
Ba3 0.667 0.333 0.333
Li1 0.000 0.000 0.489
Li2 0.000 0.000 0.758
Li3 0.333 0.667 0.156
Li4 0.333 0.667 0.425
Li5 0.667 0.333 0.092
Li6 0.667 0.333 0.822
Y1 0.000 0.000 0.234
Y2 0.333 0.667 0.901
Y3 0.667 0.333 0.567

---

Version four
Entry from Alexandria: a geometry-optimized BaLi2Y structure (GGA-PBE).

Computed properties:
The symmetry is C2/m, No. 12. For the volume, the calculation gives 33.98 Å³/atom.

Cell: 11.226 3.622 6.758 Å, 90.00 98.29 90.00°
Element x y z (fractional)
Ba1 0.000 0.000 0.000
Ba2 0.500 0.500 0.000
Li1 0.243 0.000 0.692
Li2 0.257 0.500 0.308
Li3 0.743 0.500 0.692
Li4 0.757 0.000 0.308
Y1 0.000 0.500 0.500
Y2 0.500 0.000 0.500

---

Which is the most stable structure? version two is the most stable.

---

Version one
Entry from Alexandria: a geometry-optimized BaLi2Y structure (GGA-PBE).

Computed properties:
The symmetry is Imm2, No. 44. For the volume, the calculation gives 31.87 Å³/atom.

Cell: 3.700 5.813 11.854 Å, 90.00 90.00 90.00°
Element x y z (fractional)
Ba1 0.000 0.000 0.000
Ba2 0.500 0.500 0.500
Li1 0.000 0.000 0.448
Li2 0.000 0.500 0.763
Li3 0.500 0.000 0.263
Li4 0.500 0.500 0.948
Y1 0.000 0.500 0.201
Y2 0.500 0.000 0.701

---

Version two
Entry from Alexandria: a geometry-optimized BaLi2Y structure (GGA-PBE).

Computed properties:
The symmetry is P4/mmm, No. 123. For the volume, the calculation gives 32.37 Å³/atom.

Cell: 5.788 5.788 3.865 Å, 90.00 90.00 90.00°
Element x y z (fractional)
Ba1 0.000 0.000 0.000
Li1 0.000 0.500 0.500
Li2 0.500 0.000 0.500
Y1 0.500 0.500 0.000

---

Which is the most stable structure? version two is the most stable.